The following is a PBE-GGA calculation of an optimized crystal structure of La6ErCd5, from Alexandria via LeMat-Bulk.

a b c (Å): 5.5704 7.8775 8.9110
angles (deg): 90.00 108.22 90.00
Fractional positions:
La 0.0000 0.2336 0.0000
La 0.0000 0.7664 0.0000
La 0.3300 0.2506 0.6574
La 0.3300 0.7494 0.6574
La 0.6700 0.2506 0.3426
La 0.6700 0.7494 0.3426
Er 0.5000 0.5000 0.0000
Cd 0.1528 0.5000 0.3089
Cd 0.1646 0.0000 0.3337
Cd 0.5000 0.0000 0.0000
Cd 0.8354 0.0000 0.6663
Cd 0.8472 0.5000 0.6911

Values from the calculation:
The calculation puts the magnetization at 0.00 μB/atom. The total energy comes out at -3.468 eV/atom. For the calculated formation energy, the calculation gives -0.242 eV/atom.